YNi2TeO6 | Alexandria | PBE+U | optimized geometry; total moment = 7.2 Bohr magnetons per cell; DFT total energy = -5.96 eV per atom
1.0
-3.168 2.512 -3.701
3.560 -1.510 -4.072
-4.134 -6.700 -1.129
O Ni Te Y
12 4 2 2
Cartesian
1.138 -0.405 -3.927 O
-1.906 -2.912 -1.786 O
-1.837 -2.786 -7.117 O
-0.262 -0.639 -1.513 O
-0.211 -2.803 -4.538 O
-1.020 -5.311 -5.718 O
-3.532 -2.895 -4.365 O
-2.298 -5.378 -2.938 O
-3.481 -5.059 -7.390 O
-4.880 -5.293 -4.976 O
-1.445 -0.320 -5.965 O
-2.723 -0.387 -3.185 O
-2.869 -4.775 -0.968 Ni
-0.874 -0.923 -7.935 Ni
-0.818 -0.834 -4.047 Ni
-2.924 -4.864 -4.856 Ni
1.780 -0.755 -2.036 Te
-3.651 -2.094 -2.415 Te
-1.584 1.256 -1.850 Y
-0.287 -4.105 -2.601 Y